# BeRuAu4 (GGA-PBE, optimized geometry)
data_BeRuAu4
_chemical_formula_sum 'Be4 Ru4 Au16'
_cell_length_a 7.621
_cell_length_b 7.621
_cell_length_c 7.621
_cell_angle_alpha 90.00
_cell_angle_beta 90.00
_cell_angle_gamma 90.00
_symmetry_space_group_name_H-M 'F -4 3 m'
_symmetry_Int_Tables_number 216
_symmetry_space_group_name_Hall 'F -4 2 3'
loop_
_atom_site_label
_atom_site_fract_x
_atom_site_fract_y
_atom_site_fract_z
Be1 0.000 0.000 0.000
Ru1 0.250 0.250 0.750
Au1 0.125 0.125 0.375
# Uncorrected energy ... -3.607 eV/atom